The following is a DFT calculation (GGA-PBE) of crystalline Cs2CaPd at its relaxed geometry.

Cell: 6.418 6.418 6.418 Å, 60.00 60.00 60.00°
Atoms (fractional coordinates):
Pd (0.500, 0.500, 0.500)
Cs (0.750, 0.750, 0.750)
Cs (0.250, 0.250, 0.250)
Ca (0.000, 0.000, 0.000)

Offset from the most stable computed form, eV per atom: 0.364
Formation enthalpy at 0 K, eV/atom: 0.43
Calculated density, g/cm3: 3.7
DFT total energy, eV per atom: -1.80

---

The following is a DFT calculation (GGA-PBE) of crystalline AcTb4PrHo2 at its relaxed geometry.

Cell: 13.776 7.264 13.763 Å, 121.85 149.38 74.61°
Atoms (fractional coordinates):
Ac (0.500, 0.500, 0.500)
Ac (0.000, 0.000, 0.000)
Tb (0.334, 0.422, 0.589)
Tb (0.832, 0.921, 0.088)
Tb (0.832, 0.422, 0.086)
Tb (0.666, 0.579, 0.411)
Tb (0.168, 0.578, 0.914)
Tb (0.168, 0.079, 0.912)
Tb (0.332, 0.921, 0.587)
Tb (0.668, 0.079, 0.413)
Ho (0.500, 0.000, 0.000)
Ho (0.500, 0.500, 0.000)
Ho (0.500, 0.000, 0.500)
Ho (0.000, 0.000, 0.500)
Pr (0.000, 0.500, 0.000)
Pr (0.000, 0.500, 0.500)

Formation enthalpy at 0 K, eV/atom: 0.02
Calculated density, g/cm3: 8.3
DFT total energy, eV per atom: -4.55

---

The following is a DFT calculation (GGA-PBE) of crystalline CrInPb2 at its relaxed geometry.

Cell: 10.987 10.987 10.987 Å, 17.70 17.70 17.70°
Atoms (fractional coordinates):
Pb (0.991, 0.991, 0.991)
Pb (0.509, 0.509, 0.509)
Cr (0.250, 0.250, 0.250)
In (0.750, 0.750, 0.750)

Formation enthalpy at 0 K, eV/atom: 0.40
Calculated density, g/cm3: 9.0
DFT total energy, eV per atom: -4.54

---

The following is a DFT calculation (GGA-PBE) of crystalline As2Br2N at its relaxed geometry.

Cell: 6.429 6.429 5.493 Å, 90.00 90.00 90.00°
Atoms (fractional coordinates):
Br (0.699, 0.801, 0.000)
Br (0.801, 0.301, 0.000)
Br (0.301, 0.199, 0.000)
Br (0.199, 0.699, 0.000)
As (0.628, 0.872, 0.500)
As (0.372, 0.128, 0.500)
As (0.872, 0.372, 0.500)
As (0.128, 0.628, 0.500)
N (0.500, 0.500, 0.000)
N (0.000, 0.000, 0.000)

Offset from the most stable computed form, eV per atom: 0.024
Raw formation energy, meV per atom: 1172
Calculated density, g/cm3: 4.7
DFT total energy, eV per atom: -3.02

---

The following is a DFT calculation (GGA-PBE) of crystalline NdTl2F11 at its relaxed geometry.

Cell: 8.390 8.771 8.771 Å, 73.14 61.43 61.43°
Atoms (fractional coordinates):
F (0.344, 0.293, 0.444)
F (0.254, 0.316, 0.967)
F (0.037, 0.184, 0.533)
F (0.537, 0.033, 0.684)
F (0.897, 0.812, 0.188)
F (0.844, 0.944, 0.793)
F (0.582, 0.207, 0.056)
F (0.963, 0.816, 0.467)
F (0.463, 0.967, 0.316)
F (0.656, 0.707, 0.556)
F (0.082, 0.556, 0.707)
F (0.500, 0.500, 0.500)
F (0.246, 0.533, 0.184)
F (0.746, 0.684, 0.033)
F (0.918, 0.444, 0.293)
F (0.156, 0.056, 0.207)
F (0.000, 0.000, 0.000)
F (0.103, 0.188, 0.812)
F (0.418, 0.793, 0.944)
F (0.397, 0.688, 0.312)
F (0.754, 0.467, 0.816)
F (0.603, 0.312, 0.688)
Tl (0.333, 0.308, 0.692)
Tl (0.833, 0.192, 0.808)
Tl (0.167, 0.808, 0.192)
Tl (0.667, 0.692, 0.308)
Nd (0.750, 0.750, 0.750)
Nd (0.250, 0.250, 0.250)

Raw formation energy, meV per atom: -2099
Calculated density, g/cm3: 5.1
DFT total energy, eV per atom: -4.25

---

The following is a DFT calculation (GGA-PBE) of crystalline Na2Mg3H8 at its relaxed geometry.

Cell: 5.090 6.064 6.239 Å, 119.07 107.87 90.00°
Atoms (fractional coordinates):
Na (0.348, 0.285, 0.569)
Na (0.652, 0.715, 0.431)
H (0.914, 0.098, 0.196)
H (0.948, 0.607, 0.214)
H (0.392, 0.887, 0.209)
H (0.052, 0.393, 0.786)
H (0.392, 0.322, 0.209)
H (0.086, 0.902, 0.804)
H (0.608, 0.113, 0.791)
H (0.608, 0.678, 0.791)
Mg (0.000, 0.261, 0.000)
Mg (0.500, 0.000, 0.000)
Mg (0.000, 0.739, 0.000)

Calculated density, g/cm3: 1.3
DFT total energy, eV per atom: -2.85

---

The following is a DFT calculation (GGA-PBE) of crystalline PmDy3Ho6 at its relaxed geometry.

Cell: 9.790 9.790 6.855 Å, 44.43 44.43 60.00°
Atoms (fractional coordinates):
Pm (0.899, 0.899, 0.302)
Ho (0.402, 0.730, 0.797)
Ho (0.232, 0.902, 0.297)
Ho (0.902, 0.569, 0.297)
Ho (0.071, 0.402, 0.797)
Ho (0.569, 0.232, 0.297)
Ho (0.730, 0.071, 0.797)
Dy (0.399, 0.399, 0.804)
Dy (0.150, 0.150, 0.551)
Dy (0.646, 0.646, 0.063)

Offset from the most stable computed form, eV per atom: 0.134
Formation enthalpy at 0 K, eV/atom: 0.28
Calculated density, g/cm3: 8.4
DFT total energy, eV per atom: -4.32

---

The following is a DFT calculation (GGA-PBE) of crystalline MgTeOs2 at its relaxed geometry.

Cell: 4.499 2.963 5.515 Å, 100.66 90.00 90.00°
Atoms (fractional coordinates):
Te (0.500, 0.250, 0.250)
Os (0.000, 0.376, 0.548)
Os (0.000, 0.124, 0.952)
Mg (0.500, 0.750, 0.750)

Offset from the most stable computed form, eV per atom: 0.342
Raw formation energy, meV per atom: 610
Calculated density, g/cm3: 12.2
DFT total energy, eV per atom: -6.19

---

The following is a DFT calculation (GGA-PBE) of crystalline Ti2Os2Ru at its relaxed geometry.

Cell: 3.951 3.951 6.157 Å, 71.28 71.28 90.00°
Atoms (fractional coordinates):
Ti (0.750, 0.250, 0.500)
Ti (0.250, 0.750, 0.500)
Ru (0.000, 0.000, 0.000)
Os (0.610, 0.610, 0.781)
Os (0.390, 0.390, 0.219)

Offset from the most stable computed form, eV per atom: 0.519
Formation enthalpy at 0 K, eV/atom: 0.48
Calculated density, g/cm3: 11.2
DFT total energy, eV per atom: -9.03

---

The following is a DFT calculation (GGA-PBE) of crystalline La2MgHg at its relaxed geometry.

Cell: 6.202 6.202 6.202 Å, 135.12 135.12 65.35°
Atoms (fractional coordinates):
La (0.000, 0.000, 0.000)
La (0.250, 0.750, 0.500)
Mg (0.500, 0.500, 0.000)
Hg (0.750, 0.250, 0.500)

Offset from the most stable computed form, eV per atom: 0.093
Formation enthalpy at 0 K, eV/atom: -0.22
Calculated density, g/cm3: 7.1
DFT total energy, eV per atom: -3.16

---

The following is a DFT calculation (GGA-PBE) of crystalline BaSnSe at its relaxed geometry.

Cell: 4.344 4.339 13.316 Å, 90.00 90.00 120.04°
Atoms (fractional coordinates):
Sn (0.279, 0.557, 0.500)
Sn (0.611, 0.222, 0.000)
Se (0.611, 0.222, 0.360)
Se (0.611, 0.222, 0.640)
Ba (0.277, 0.555, 0.203)
Ba (0.277, 0.555, 0.797)

Raw formation energy, meV per atom: -806
Calculated density, g/cm3: 5.1
DFT total energy, eV per atom: -3.94

---

The following is a DFT calculation (GGA-PBE) of crystalline ScAg4C2 at its relaxed geometry.

Cell: 5.305 5.305 6.703 Å, 66.69 66.69 90.00°
Atoms (fractional coordinates):
C (0.442, 0.442, 0.116)
C (0.558, 0.558, 0.884)
Ag (0.751, 0.751, 0.499)
Ag (0.500, 0.000, 0.000)
Ag (0.249, 0.249, 0.501)
Ag (0.000, 0.500, 0.000)
Sc (0.000, 0.000, 0.000)

Formation enthalpy at 0 K, eV/atom: 1.24
Calculated density, g/cm3: 5.3
DFT total energy, eV per atom: -3.93

---

The following is a DFT calculation (GGA-PBE) of crystalline NdDyHg at its relaxed geometry.

Cell: 5.184 5.184 5.184 Å, 60.00 60.00 60.00°
Atoms (fractional coordinates):
Hg (0.250, 0.250, 0.250)
Dy (0.000, 0.000, 0.000)
Nd (0.500, 0.500, 0.500)

Offset from the most stable computed form, eV per atom: 0.244
Formation enthalpy at 0 K, eV/atom: -0.09
Calculated density, g/cm3: 8.6
DFT total energy, eV per atom: -3.32

---

The following is a DFT calculation (GGA-PBE) of crystalline InCo2Ru at its relaxed geometry.

Cell: 5.001 5.001 5.001 Å, 143.20 129.03 64.50°
Atoms (fractional coordinates):
Co (0.493, 0.493, 0.000)
Co (0.007, 0.007, 0.000)
In (0.750, 0.250, 0.500)
Ru (0.250, 0.750, 0.500)

Formation enthalpy at 0 K, eV/atom: 0.30
Calculated density, g/cm3: 9.6
DFT total energy, eV per atom: -6.26

---

The following is a DFT calculation (GGA-PBE) of crystalline Li6Pa at its relaxed geometry.

Cell: 5.815 5.815 5.815 Å, 109.47 109.47 109.47°
Atoms (fractional coordinates):
Li (0.250, 0.750, 0.500)
Li (0.750, 0.500, 0.250)
Li (0.250, 0.500, 0.750)
Li (0.500, 0.250, 0.750)
Li (0.500, 0.750, 0.250)
Li (0.750, 0.250, 0.500)
Pa (0.000, 0.000, 0.000)

Formation enthalpy at 0 K, eV/atom: 0.69
Calculated density, g/cm3: 3.0
DFT total energy, eV per atom: -2.31

---

The following is a DFT calculation (GGA-PBE) of crystalline Th6HgC at its relaxed geometry.

Cell: 6.187 6.191 6.190 Å, 79.79 100.17 79.74°
Atoms (fractional coordinates):
Th (0.649, 0.222, 0.074)
Th (0.222, 0.073, 0.350)
Th (0.778, 0.927, 0.650)
Th (0.927, 0.649, 0.222)
Th (0.073, 0.351, 0.778)
Th (0.351, 0.778, 0.926)
Hg (0.500, 0.500, 0.500)
C (0.000, 0.000, 0.000)

Formation enthalpy at 0 K, eV/atom: -0.10
Calculated density, g/cm3: 11.9
DFT total energy, eV per atom: -6.86

---

The following is a DFT calculation (GGA-PBE) of crystalline NiAgP at its relaxed geometry.

Cell: 4.025 4.025 4.025 Å, 60.00 60.00 60.00°
Atoms (fractional coordinates):
P (0.250, 0.250, 0.250)
Ni (0.500, 0.500, 0.500)
Ag (0.000, 0.000, 0.000)

Offset from the most stable computed form, eV per atom: 0.216
Formation enthalpy at 0 K, eV/atom: 0.09
Calculated density, g/cm3: 7.1
DFT total energy, eV per atom: -4.59

---

The following is a DFT calculation (GGA-PBE) of crystalline Al2ZnP at its relaxed geometry.

Cell: 3.457 3.457 5.907 Å, 90.00 90.00 90.00°
Atoms (fractional coordinates):
Al (0.000, 0.000, 0.978)
Al (0.500, 0.500, 0.330)
P (0.000, 0.000, 0.385)
Zn (0.500, 0.500, 0.807)

Offset from the most stable computed form, eV per atom: 0.015
Formation enthalpy at 0 K, eV/atom: 0.03
Calculated density, g/cm3: 3.5
DFT total energy, eV per atom: -3.51

---

The following is a DFT calculation (GGA-PBE) of crystalline Cd3Ag at its relaxed geometry.

Cell: 4.359 4.359 4.359 Å, 90.00 90.00 90.00°
Atoms (fractional coordinates):
Cd (0.000, 0.500, 0.500)
Cd (0.500, 0.500, 0.000)
Cd (0.500, 0.000, 0.500)
Ag (0.000, 0.000, 0.000)

Formation enthalpy at 0 K, eV/atom: -0.01
Calculated density, g/cm3: 8.9
DFT total energy, eV per atom: -1.41

---

The following is a DFT calculation (GGA-PBE) of crystalline PrHoRh at its relaxed geometry.

Cell: 3.512 3.512 6.873 Å, 104.80 104.80 90.00°
Atoms (fractional coordinates):
Rh (0.676, 0.676, 0.353)
Pr (0.031, 0.031, 0.062)
Ho (0.292, 0.292, 0.585)

Offset from the most stable computed form, eV per atom: 0.099
Formation enthalpy at 0 K, eV/atom: -0.48
Calculated density, g/cm3: 8.6
DFT total energy, eV per atom: -6.05

---

The following is a DFT calculation (GGA-PBE) of crystalline CdPtSe2 at its relaxed geometry.

Cell: 2.984 2.984 9.504 Å, 90.00 90.00 90.00°
Atoms (fractional coordinates):
Cd (0.000, 0.000, 0.533)
Se (0.500, 0.500, 0.296)
Se (0.000, 0.000, 0.931)
Pt (0.500, 0.500, 0.740)

Raw formation energy, meV per atom: 83
Calculated density, g/cm3: 9.1
DFT total energy, eV per atom: -3.40

---

The following is a DFT calculation (GGA-PBE) of crystalline LaYTl2S4 at its relaxed geometry.

Cell: 4.161 7.210 7.855 Å, 107.78 90.00 90.00°
Atoms (fractional coordinates):
S (0.500, 0.777, 0.800)
S (0.000, 0.254, 0.797)
S (0.500, 0.223, 0.200)
S (0.000, 0.746, 0.203)
Tl (0.000, 0.500, 0.500)
Tl (0.500, 0.000, 0.500)
La (0.500, 0.500, 0.000)
Y (0.000, 0.000, 0.000)

Raw formation energy, meV per atom: -1503
Calculated density, g/cm3: 5.7
DFT total energy, eV per atom: -5.58

---

The following is a DFT calculation (GGA-PBE) of crystalline BI2O2 at its relaxed geometry.

Cell: 5.740 5.740 2.825 Å, 90.00 90.00 90.00°
Atoms (fractional coordinates):
B (0.000, 0.000, 0.000)
I (0.000, 0.500, 0.000)
I (0.500, 0.000, 0.000)
O (0.000, 0.000, 0.500)
O (0.500, 0.500, 0.500)

Offset from the most stable computed form, eV per atom: 0.000
Raw formation energy, meV per atom: 351
Calculated density, g/cm3: 5.3
DFT total energy, eV per atom: -3.59

---

The following is a DFT calculation (GGA-PBE) of crystalline SmScCdGa at its relaxed geometry.

Cell: 5.089 5.089 5.089 Å, 60.00 60.00 60.00°
Atoms (fractional coordinates):
Sc (0.000, 0.000, 0.000)
Cd (0.750, 0.750, 0.750)
Ga (0.250, 0.250, 0.250)
Sm (0.500, 0.500, 0.500)

Formation enthalpy at 0 K, eV/atom: -0.42
Calculated density, g/cm3: 6.7
DFT total energy, eV per atom: -4.17

---

The following is a DFT calculation (GGA-PBE) of crystalline Hf2CdCoH at its relaxed geometry.

Cell: 4.621 4.621 3.520 Å, 90.00 90.00 90.00°
Atoms (fractional coordinates):
Hf (0.000, 0.500, 0.000)
Hf (0.500, 0.000, 0.000)
Cd (0.500, 0.500, 0.500)
H (0.000, 0.000, 0.000)
Co (0.000, 0.000, 0.500)

Offset from the most stable computed form, eV per atom: 0.000
Calculated density, g/cm3: 11.7
DFT total energy, eV per atom: -6.35

---

The following is a DFT calculation (GGA-PBE) of crystalline Nd2Ga3Ni4Hg at its relaxed geometry.

Cell: 4.242 4.242 9.990 Å, 90.00 90.00 90.00°
Atoms (fractional coordinates):
Ni (0.000, 0.000, 0.000)
Ni (0.500, 0.500, 0.000)
Ni (0.000, 0.500, 0.352)
Ni (0.500, 0.000, 0.648)
Ga (0.500, 0.000, 0.886)
Ga (0.000, 0.000, 0.500)
Ga (0.000, 0.500, 0.114)
Nd (0.000, 0.500, 0.764)
Nd (0.500, 0.000, 0.236)
Hg (0.500, 0.500, 0.500)

Formation enthalpy at 0 K, eV/atom: -0.44
Calculated density, g/cm3: 8.6
DFT total energy, eV per atom: -4.65